# GGA-PBE Gd2YFeNi8, relaxed
# Crystal system = trigonal
# Uncorrected energy = -6.0434 eV per atom
data_Gd2YFeNi8
_symmetry_space_group_name_H-M 'R -3 m'
_symmetry_Int_Tables_number 166
_symmetry_space_group_name_Hall '-R 3 2"'
_cell_length_a 4.9843
_cell_length_b 4.9843
_cell_length_c 24.3035
_cell_angle_alpha 90.00
_cell_angle_beta 90.00
_cell_angle_gamma 120.00
loop_
_atom_site_label
_atom_site_fract_x
_atom_site_fract_y
_atom_site_fract_z
_atom_site_occupancy
Gd1 0.0000 0.0000 0.1386 1
Y1 0.0000 0.0000 0.0000 1
Fe1 0.0000 0.0000 0.5000 1
Ni1 0.0000 0.0000 0.3332 1
Ni2 0.0007 0.5003 0.9175 1